# 1
{"formula": "HfMgH3", "functional": "PBEsol", "state": "relaxed", "lattice_angstrom": [[3.599, 0.000, 0.000], [0.000, 3.599, 0.000], [0.000, 0.000, 3.599]], "species": ["Hf", "Mg", "H", "H", "H"], "frac_coords": [[0.000, 0.000, 0.000], [0.500, 0.500, 0.500], [0.000, 0.500, 0.500], [0.500, 0.000, 0.500], [0.500, 0.500, 0.000]], "final_energy_ev_per_atom": -4.13, "space_group": "Pm-3m"}



# 2
{"formula": "HfMg3H", "functional": "PBEsol", "state": "relaxed", "lattice_angstrom": [[4.418, 0.000, 0.000], [0.000, 4.418, 0.000], [0.000, 0.000, 4.418]], "species": ["Hf", "Mg", "Mg", "Mg", "H"], "frac_coords": [[0.000, 0.000, 0.000], [0.000, 0.500, 0.500], [0.500, 0.000, 0.500], [0.500, 0.500, 0.000], [0.500, 0.500, 0.500]], "final_energy_ev_per_atom": -3.55, "space_group": "Pm-3m"}



What did the first record say?
{"formula": "HfMgH3", "functional": "PBEsol", "state": "relaxed", "lattice_angstrom": [[3.599, 0.000, 0.000], [0.000, 3.599, 0.000], [0.000, 0.000, 3.599]], "species": ["Hf", "Mg", "H", "H", "H"], "frac_coords": [[0.000, 0.000, 0.000], [0.500, 0.500, 0.500], [0.000, 0.500, 0.500], [0.500, 0.000, 0.500], [0.500, 0.500, 0.000]], "final_energy_ev_per_atom": -4.13, "space_group": "Pm-3m"}



Which formula does entry 1 have? HfMgH3